Compound: HPbS2Cl
Source: Alexandria
Functional: PBE-GGA
Structure: relaxed

abc: 5.3949 5.3949 3.9074
angles: 90.00 90.00 90.00
Last column: nearest neighbours and their distance in Å.
Fractional positions:
1 H 0.0000 0.0000 0.0000  2 Pb 1.95
2 Pb 0.0000 0.0000 0.5000  2 H 1.95
3 S 0.0000 0.5000 0.5000  2 Pb 2.70
4 S 0.5000 0.0000 0.5000  2 Pb 2.70
5 Cl 0.5000 0.5000 0.0000  8 S 3.33

## Properties
Its crystal system is tetragonal. For the total energy, the calculation gives -14.01 eV/cell. The energy above the most stable polymorph in this dataset is 182 kJ/mol of formula units.



Compound: HPbS2Cl
Source: Alexandria
Functional: PBE-GGA
Structure: relaxed

abc: 5.3760 5.3760 5.5446
angles: 90.00 90.00 90.00
Last column: nearest neighbours and their distance in Å.
Fractional positions:
1 H 0.0000 0.0000 0.0000  4 Cl 3.80, 8 S 3.86
2 Pb 0.5000 0.5000 0.5000  4 S 2.69, 2 Cl 2.77
3 S 0.0000 0.5000 0.5000  2 Pb 2.69
4 S 0.5000 0.0000 0.5000  2 Pb 2.69
5 Cl 0.5000 0.5000 0.0000  2 Pb 2.77

## Properties
Its crystal system is tetragonal. For the total energy, the calculation gives -13.39 eV/cell. The energy above the most stable polymorph in this dataset is 242 kJ/mol of formula units.



Compound: H3PbSCl3
Source: Alexandria
Functional: PBE-GGA
Structure: relaxed

abc: 4.4936 9.8115 16.9595
angles: 91.12 90.49 90.09
Last column: nearest neighbours and their distance in Å.
Fractional positions:
1 H 0.0000 0.0000 0.0000  1 S 1.42
2 H 0.0029 0.4903 0.1190  1 S 1.42
3 H 0.0138 0.3993 0.4328  1 S 1.39
4 H 0.0661 0.8159 0.5682  1 S 1.45
5 H 0.2941 0.9877 0.5473  1 S 1.37
6 H 0.3119 0.2682 0.4701  1 S 1.37
7 H 0.5122 0.8173 0.5717  1 S 1.42
8 H 0.5585 0.9997 0.9999  1 S 1.42
9 H 0.5616 0.4905 0.1191  1 S 1.42
10 H 0.7766 0.0383 0.9015  1 S 1.40
11 H 0.7799 0.5889 0.0343  1 S 1.39
12 H 0.9962 0.3254 0.5497  1 S 1.50
13 Pb 0.2742 0.7304 0.8542  6 Cl 2.91-3.00
14 Pb 0.2842 0.2040 0.2603  6 Cl 2.84-3.05
15 Pb 0.7685 0.3657 0.7594  6 Cl 2.84-3.06
16 Pb 0.7907 0.8449 0.3512  5 Cl 2.81-3.12
17 S 0.2121 0.3932 0.4957  3 H 1.37-1.50
18 S 0.2898 0.8987 0.6087  3 H 1.37-1.45
19 S 0.7787 0.0947 0.9777  3 H 1.40-1.42
20 S 0.7825 0.5936 0.1160  3 H 1.39-1.42
21 Cl 0.2692 0.5564 0.7119  3 Pb 2.93-3.05
22 Cl 0.2726 0.2231 0.8211  2 Pb 2.85-2.87
23 Cl 0.2794 0.8446 0.0142  2 H 1.99
24 Cl 0.2812 0.3343 0.1123  2 H 1.98
25 Cl 0.2920 0.7003 0.2936  2 Pb 2.81-2.83
26 Cl 0.3016 0.0442 0.4125  2 H 2.36-2.39
27 Cl 0.7561 0.2309 0.6097  1 H 1.76
28 Cl 0.7740 0.8962 0.8046  1 H 2.13
29 Cl 0.7758 0.5509 0.9069  1 H 2.19
30 Cl 0.7871 0.0203 0.2134  3 Pb 2.93-3.00
31 Cl 0.7895 0.3668 0.3189  1 H 2.19
32 Cl 0.7959 0.7113 0.5077  2 H 1.87-1.97

## Properties
Its crystal system is triclinic. For the total energy, the calculation gives -113.68 eV/cell.